# 1
Ac2ZnSn3 | PBE | optimized geometry

a b c (Å): 4.555 4.793 8.379
angles (deg): 90.00 90.00 90.00
Element x y z (fractional)
Ac (0.000, 0.000, 0.000)
Ac (0.000, 0.500, 0.499)
Zn (0.500, 0.500, 0.823)
Sn (0.500, 0.000, 0.338)
Sn (0.500, 0.000, 0.684)
Sn (0.500, 0.500, 0.144)

V = 183 Å³ per cell
space group = Pmm2
density = 7.948 g cm⁻³

# 2
Ac3Zn4Sn | PBE | optimized geometry

a b c (Å): 9.230 9.230 9.230
angles (deg): 149.31 142.62 49.11
Element x y z (fractional)
Ac (0.000, 0.000, 0.000)
Ac (0.303, 0.803, 0.500)
Ac (0.697, 0.197, 0.500)
Zn (0.083, 0.374, 0.709)
Zn (0.335, 0.626, 0.709)
Zn (0.665, 0.374, 0.291)
Zn (0.917, 0.626, 0.291)
Sn (0.500, 0.500, 0.000)

V = 243 Å³ per cell
space group = Immm
density = 7.265 g cm⁻³

# 3
Ac3ZnSn3 | PBE | optimized geometry

a b c (Å): 6.639 6.639 15.911
angles (deg): 107.44 107.44 42.75
Element x y z (fractional)
Ac (0.025, 0.025, 0.386)
Ac (0.100, 0.100, 0.919)
Ac (0.243, 0.243, 0.231)
Ac (0.757, 0.757, 0.769)
Ac (0.900, 0.900, 0.081)
Ac (0.975, 0.975, 0.614)
Zn (0.273, 0.273, 0.609)
Zn (0.727, 0.727, 0.391)
Sn (0.345, 0.345, 0.453)
Sn (0.378, 0.378, 0.923)
Sn (0.471, 0.471, 0.765)
Sn (0.529, 0.529, 0.235)
Sn (0.622, 0.622, 0.077)
Sn (0.655, 0.655, 0.547)

V = 451 Å³ per cell
space group = C2/m
density = 8.125 g cm⁻³

Number 1: formation energy -546 meV/atom. Number 2: formation energy -182 meV/atom. Number 3: formation energy -637 meV/atom.